VASP calculation (PBE+U) on a relaxed structure of RbCr2PtO8.

Its density is 4.4 g/cm3. Its magnetization is 1.001 μB per formula unit. As for the total energy: -6.2611 eV/atom. As for the volume: 16.255 Å³ per atom.

Unit cell a=5.1714 b=5.1714 c=8.4220 alpha=90.00 beta=90.00 gamma=120.00
Element x y z (fractional)
O  0.6667  0.3333  0.0989
O  0.0434  0.3330  0.6434
O  0.2897  0.9566  0.6434
O  0.6670  0.7103  0.6434
O  0.9566  0.6670  0.3566
O  0.3333  0.6667  0.9011
O  0.7103  0.0434  0.3566
O  0.3330  0.2897  0.3566
Cr  0.6667  0.3333  0.2930
Cr  0.3333  0.6667  0.7070
Rb  0.0000  0.0000  0.0000
Pt  0.0000  0.0000  0.5000